VASP calculation (PBE) on a relaxed structure of TbPm5Tm2Sc.

a = 11.198 Å, b = 11.198 Å, c = 10.196 Å
α = 90.00°, β = 90.00°, γ = 152.47°
Sites, in units of the cell vectors:
Tb1 0.101 0.899 0.750
Tb2 0.899 0.101 0.250
Pm1 0.000 0.000 0.000
Pm2 0.000 0.000 0.500
Pm3 0.126 0.874 0.250
Pm4 0.221 0.779 0.562
Pm5 0.221 0.779 0.938
Pm6 0.498 0.502 0.750
Pm7 0.502 0.498 0.250
Pm8 0.779 0.221 0.062
Pm9 0.779 0.221 0.438
Pm10 0.874 0.126 0.750
Tm1 0.384 0.616 0.002
Tm2 0.384 0.616 0.498
Tm3 0.616 0.384 0.502
Tm4 0.616 0.384 0.998
Sc1 0.285 0.715 0.250
Sc2 0.715 0.285 0.750

Calculated values
ΔE_f   0.130 eV/atom